(1)
DFT (PBE-GGA) results for a relaxed Rb2TmAuCl6 crystal.

```
10
Lattice="4.993 -5.688 0.142 -2.263 -7.061 -1.522 2.113 -3.343 -6.454" Properties=species:S:1:pos:R:3 pbc="T T T"
Rb 3.632 -12.069 -5.876
Rb 1.211 -4.023 -1.959
Tm 0.000 0.000 0.000
Au 2.421 -8.046 -3.917
Cl 0.011 -7.539 -2.685
Cl 3.744 -6.833 -1.829
Cl 4.832 -8.553 -5.149
Cl 2.263 -5.627 -5.222
Cl 2.580 -10.466 -2.612
Cl 1.099 -9.259 -6.006
```

Computed properties:
formation energy from raw total energies	-1678	meV per atom

***

(2)
DFT (PBE-GGA) results for a relaxed Rb2VAuCl6 crystal.

```
10
Lattice="-1.900 -0.445 -7.466 2.579 -7.269 -0.223 -4.080 -5.463 -2.624" Properties=species:S:1:pos:R:3 pbc="T T T"
Cl -1.933 -4.683 -3.217
Cl -1.468 -8.495 -7.096
Cl 0.192 -2.186 -2.178
Cl 0.487 -5.529 -5.510
Cl -0.631 -2.379 -5.414
Cl 1.310 -5.336 -2.275
Au 0.000 0.000 0.000
Rb -2.820 -4.883 -6.967
Rb -0.580 -8.295 -3.345
V 0.340 -3.857 -3.844
```

Computed properties:
formation energy from raw total energies	-1265	meV per atom

***

(3)
DFT (PBE-GGA) results for a relaxed RbVAuCl6 crystal.

```
9
Lattice="-6.465 4.548 -1.186 -6.774 -2.147 1.403 0.895 4.054 4.864" Properties=species:S:1:pos:R:3 pbc="T T T"
Rb -6.037 7.877 3.289
V -4.070 2.887 2.592
Au -8.789 4.021 2.409
Cl -2.173 1.130 1.994
Cl -8.939 2.468 4.100
Cl -5.556 4.462 3.150
Cl -3.333 2.543 4.702
Cl -5.577 1.236 2.554
Cl -4.006 3.248 0.400
```

Computed properties:
formation energy from raw total energies	-1090	meV per atom

***

Copy entry 1 word for word.
DFT (PBE-GGA) results for a relaxed Rb2TmAuCl6 crystal.

```
10
Lattice="4.993 -5.688 0.142 -2.263 -7.061 -1.522 2.113 -3.343 -6.454" Properties=species:S:1:pos:R:3 pbc="T T T"
Rb 3.632 -12.069 -5.876
Rb 1.211 -4.023 -1.959
Tm 0.000 0.000 0.000
Au 2.421 -8.046 -3.917
Cl 0.011 -7.539 -2.685
Cl 3.744 -6.833 -1.829
Cl 4.832 -8.553 -5.149
Cl 2.263 -5.627 -5.222
Cl 2.580 -10.466 -2.612
Cl 1.099 -9.259 -6.006
```

Computed properties:
formation energy from raw total energies	-1678	meV per atom